Entry 1:
KRbNa17 | PBE | relaxed

a b c (Å): 9.3776 9.3776 9.3776
angles (deg): 82.43 82.43 82.43
Closest atoms and distances in Å follow each position.
Atoms (fractional coordinates):
K  0.0000  0.0000  0.0000  19 Na 4.36-4.87
Rb  0.3209  0.3209  0.3209  19 Na 4.38-4.77
Na  0.0076  0.0076  0.5173  9 Na 3.55-3.83
Na  0.0076  0.5173  0.0076  9 Na 3.55-3.83
Na  0.1630  0.6609  0.6609  10 Na 3.55-3.80
Na  0.3114  0.3114  0.8164  9 Na 3.59-3.93
Na  0.3114  0.8164  0.3114  9 Na 3.59-3.93
Na  0.3652  0.6631  0.9573  8 Na 3.57-3.83
Na  0.3652  0.9573  0.6631  8 Na 3.57-3.83
Na  0.5173  0.0076  0.0076  9 Na 3.55-3.83
Na  0.5655  0.5655  0.5655  7 Na 3.53-3.93
Na  0.6609  0.1630  0.6609  10 Na 3.55-3.80
Na  0.6609  0.6609  0.1630  10 Na 3.55-3.80
Na  0.6631  0.3652  0.9573  8 Na 3.57-3.83
Na  0.6631  0.9573  0.3652  8 Na 3.57-3.83
Na  0.7587  0.7587  0.7587  7 Na 3.53-3.83
Na  0.8164  0.3114  0.3114  9 Na 3.59-3.93
Na  0.9573  0.3652  0.6631  8 Na 3.57-3.83
Na  0.9573  0.6631  0.3652  8 Na 3.57-3.83

Summary:
* formation energy from the elements: 0.022 eV/atom
* electronic total energy: -1.27 eV per atom

Entry 2:
LaCoCu | PBE | relaxed

a b c (Å): 8.1680 8.1680 3.8907
angles (deg): 90.00 90.00 152.01
Closest atoms and distances in Å follow each position.
Atoms (fractional coordinates):
La  0.1091  0.8909  0.7500  6 Co 3.00-3.04, 5 Cu 3.01-3.13
La  0.8909  0.1091  0.2500  6 Co 3.00-3.04, 5 Cu 3.01-3.13
Co  0.4631  0.5369  0.7500  2 Co 2.27
Co  0.5369  0.4631  0.2500  2 Co 2.27
Cu  0.2992  0.7008  0.7500  1 Co 2.60
Cu  0.7008  0.2992  0.2500  1 Co 2.60

Summary:
* formation energy from the elements: -0.021 eV/atom
* electronic total energy: -5.40 eV per atom

Entry 3:
PmThFe | PBE | relaxed

a b c (Å): 6.5524 6.5524 6.5524
angles (deg): 149.12 149.12 44.23
Closest atoms and distances in Å follow each position.
Atoms (fractional coordinates):
Pm  0.0000  0.0000  0.0000  4 Fe 3.14, 1 Th 3.37, 4 Pm 3.49
Th  0.2778  0.2778  0.0000  4 Fe 2.85
Fe  0.6605  0.6605  0.0000  4 Th 2.85, 4 Pm 3.14

Summary:
* formation energy from the elements: 0.124 eV/atom
* electronic total energy: -6.75 eV per atom

Entry 4:
TbSn2Pd | PBE | relaxed

a b c (Å): 4.5066 4.5066 4.4319
angles (deg): 90.00 90.00 90.00
Closest atoms and distances in Å follow each position.
Atoms (fractional coordinates):
Tb  0.0000  0.0000  0.0000  8 Sn 3.16, 4 Pd 3.19
Sn  0.0000  0.5000  0.5000  4 Tb 3.16, 4 Pd 3.16, 4 Sn 3.19
Sn  0.5000  0.0000  0.5000  4 Tb 3.16, 4 Pd 3.16, 4 Sn 3.19
Pd  0.5000  0.5000  0.0000  8 Sn 3.16, 4 Tb 3.19

Summary:
* formation energy from the elements: -0.606 eV/atom
* electronic total energy: -5.06 eV per atom

Entry 5:
CsAgTeS3 | PBE | relaxed

a b c (Å): 7.4487 7.4487 9.4114
angles (deg): 98.85 98.85 62.71
Closest atoms and distances in Å follow each position.
Atoms (fractional coordinates):
Cs  0.2327  0.2327  0.2705  7 S 3.57-3.94
Cs  0.7673  0.7673  0.7295  7 S 3.57-3.94
Ag  0.2609  0.7391  0.5000  2 S 2.38
Ag  0.7391  0.2609  0.5000  2 S 2.38
Te  0.4181  0.4181  0.8144  3 S 2.31-2.41
Te  0.5819  0.5819  0.1856  3 S 2.31-2.41
S  0.2364  0.7258  0.2440  1 Ag 2.38, 1 Te 2.41
S  0.2571  0.2571  0.6543  1 Te 2.31
S  0.2742  0.7636  0.7560  1 Ag 2.38, 1 Te 2.41
S  0.7258  0.2364  0.2440  1 Ag 2.38, 1 Te 2.41
S  0.7429  0.7429  0.3457  1 Te 2.31
S  0.7636  0.2742  0.7560  1 Ag 2.38, 1 Te 2.41

Summary:
* electronic total energy: -3.57 eV per atom
* energy relative to the elements, uncorrected: -0.36 eV per atom

Entry 6:
Cd3Ag4Sn | PBE | relaxed

a b c (Å): 6.4571 6.4571 6.4571
angles (deg): 124.61 79.38 128.05
Closest atoms and distances in Å follow each position.
Atoms (fractional coordinates):
Cd  0.0000  0.0000  0.0000  4 Ag 2.79-3.13, 2 Cd 2.89, 2 Sn 3.01
Cd  0.0086  0.7536  0.2550  4 Ag 2.82-3.00, 1 Cd 2.89, 1 Sn 2.96
Cd  0.4986  0.7536  0.7450  4 Ag 2.82-3.00, 1 Cd 2.89, 1 Sn 2.96
Ag  0.0101  0.2518  0.7582  5 Cd 2.79-3.00, 1 Sn 2.81, 2 Ag 3.12
Ag  0.4884  0.2441  0.7557  4 Ag 2.93-3.12, 1 Sn 3.05, 4 Cd 3.13-3.24
Ag  0.4884  0.7327  0.2443  4 Ag 2.93-3.12, 1 Sn 3.05, 4 Cd 3.13-3.24
Ag  0.4936  0.2518  0.2418  5 Cd 2.79-3.00, 1 Sn 2.81, 2 Ag 3.12
Sn  0.9548  0.4548  0.5000  4 Ag 2.81-3.05, 4 Cd 2.96-3.01

Summary:
* formation energy from the elements: 0.074 eV/atom
* electronic total energy: -2.20 eV per atom

Entry 7:
Pm4ThSc2 | PBE | relaxed

a b c (Å): 12.6097 12.6097 6.6458
angles (deg): 90.00 90.00 122.53
Closest atoms and distances in Å follow each position.
Atoms (fractional coordinates):
Pm  0.0061  0.2289  0.1305  3 Sc 3.17-3.47, 1 Th 3.20, 3 Pm 3.26-3.48
Pm  0.0458  0.7089  0.3576  3 Sc 3.17-3.54, 3 Pm 3.30-3.48
Pm  0.2089  0.5458  0.1424  3 Sc 3.17-3.54, 3 Pm 3.30-3.48
Pm  0.2289  0.0061  0.6305  3 Sc 3.17-3.47, 1 Th 3.20, 3 Pm 3.26-3.48
Pm  0.2711  0.4939  0.6305  3 Sc 3.17-3.47, 1 Th 3.20, 3 Pm 3.26-3.48
Pm  0.2911  0.9542  0.1424  3 Sc 3.17-3.54, 3 Pm 3.30-3.48
Pm  0.4542  0.7911  0.3576  3 Sc 3.17-3.54, 3 Pm 3.30-3.48
Pm  0.4939  0.2711  0.1305  3 Sc 3.17-3.47, 1 Th 3.20, 3 Pm 3.26-3.48
Pm  0.5061  0.7289  0.8695  3 Sc 3.17-3.47, 1 Th 3.20, 3 Pm 3.26-3.48
Pm  0.5458  0.2089  0.6424  3 Sc 3.17-3.54, 3 Pm 3.30-3.48
Pm  0.7089  0.0458  0.8576  3 Sc 3.17-3.54, 3 Pm 3.30-3.48
Pm  0.7289  0.5061  0.3695  3 Sc 3.17-3.47, 1 Th 3.20, 3 Pm 3.26-3.48
Pm  0.7711  0.9939  0.3695  3 Sc 3.17-3.47, 1 Th 3.20, 3 Pm 3.26-3.48
Pm  0.7911  0.4542  0.8576  3 Sc 3.17-3.54, 3 Pm 3.30-3.48
Pm  0.9542  0.2911  0.6424  3 Sc 3.17-3.54, 3 Pm 3.30-3.48
Pm  0.9939  0.7711  0.8695  3 Sc 3.17-3.47, 1 Th 3.20, 3 Pm 3.26-3.48
Th  0.2500  0.2500  0.4411  2 Pm 3.20, 2 Th 3.32, 2 Sc 3.34
Th  0.2500  0.2500  0.9411  2 Pm 3.20, 2 Th 3.32, 2 Sc 3.34
Th  0.7500  0.7500  0.0589  2 Pm 3.20, 2 Th 3.32, 2 Sc 3.34
Th  0.7500  0.7500  0.5589  2 Pm 3.20, 2 Th 3.32, 2 Sc 3.34
Sc  0.0273  0.9727  0.2500  4 Th 3.34-3.71, 6 Pm 3.45-3.53, 2 Sc 3.54
Sc  0.1169  0.6169  0.7500  6 Pm 3.17-3.54, 1 Sc 3.23
Sc  0.3831  0.8831  0.7500  6 Pm 3.17-3.54, 1 Sc 3.23
Sc  0.4727  0.5273  0.2500  4 Th 3.34-3.71, 6 Pm 3.45-3.53, 2 Sc 3.54
Sc  0.5273  0.4727  0.7500  4 Th 3.34-3.71, 6 Pm 3.45-3.53, 2 Sc 3.54
Sc  0.6169  0.1169  0.2500  6 Pm 3.17-3.54, 1 Sc 3.23
Sc  0.8831  0.3831  0.2500  6 Pm 3.17-3.54, 1 Sc 3.23
Sc  0.9727  0.0273  0.7500  4 Th 3.34-3.71, 6 Pm 3.45-3.53, 2 Sc 3.54

Summary:
* formation energy from the elements: 0.232 eV/atom
* electronic total energy: -5.35 eV per atom

Entry 8:
Ac3La4Pr4 | PBE | relaxed

a b c (Å): 11.4204 6.9341 6.9341
angles (deg): 51.96 90.00 90.00
Closest atoms and distances in Å follow each position.
Atoms (fractional coordinates):
Ac  0.0000  0.0000  0.0000  5 La 3.72-3.94, 7 Pr 3.78-3.91, 2 Ac 3.97
Ac  0.3140  0.1375  0.1375  4 Pr 3.68-3.72, 5 La 3.77-4.11, 1 Ac 3.97
Ac  0.6860  0.1375  0.1375  4 Pr 3.68-3.72, 5 La 3.77-4.11, 1 Ac 3.97
La  0.0000  0.2981  0.2981  4 Pr 3.29-3.50
La  0.2830  0.8311  0.8311  1 Pr 3.23
La  0.5000  0.3873  0.3873  3 Pr 3.46-3.52, 2 Ac 3.77
La  0.7170  0.8311  0.8311  1 Pr 3.23
Pr  0.0000  0.6968  0.6968  4 La 3.29-3.64, 2 Pr 3.51
Pr  0.2162  0.4971  0.4971  4 La 3.50-3.75, 2 Pr 3.51-3.86, 4 Ac 3.68-3.91
Pr  0.5000  0.6646  0.6646  3 La 3.23-3.46
Pr  0.7838  0.4971  0.4971  4 La 3.50-3.75, 2 Pr 3.51-3.86, 4 Ac 3.68-3.91

Summary:
* formation energy from the elements: 0.124 eV/atom
* electronic total energy: -4.53 eV per atom

Entry 9:
Tb8GeP5 | PBE | relaxed

a b c (Å): 7.4332 7.4332 7.4332
angles (deg): 109.33 109.33 109.75
Closest atoms and distances in Å follow each position.
Atoms (fractional coordinates):
Tb  0.0029  0.6168  0.7425  4 P 2.80-3.12, 1 Ge 2.87
Tb  0.2456  0.4962  0.1199  3 P 2.80-2.81
Tb  0.3763  0.1256  0.8801  3 P 2.80-2.81
Tb  0.3832  0.1257  0.3861  4 P 2.80-3.12, 1 Ge 2.87
Tb  0.5038  0.6237  0.7493  3 P 2.80-2.81
Tb  0.7396  0.9971  0.6139  4 P 2.80-3.12, 1 Ge 2.87
Tb  0.8743  0.2604  0.2575  4 P 2.80-3.12, 1 Ge 2.87
Tb  0.8744  0.7544  0.2507  3 P 2.80-2.81
Ge  0.0000  0.0000  0.0000  8 Tb 2.87-3.15
P  0.1260  0.2480  0.6251  5 Tb 2.80-3.12
P  0.2500  0.7500  0.5000  8 Tb 2.81-3.12
P  0.4992  0.8740  0.1220  5 Tb 2.80-3.12
P  0.6229  0.5008  0.3749  5 Tb 2.80-3.12
P  0.7520  0.3771  0.8780  5 Tb 2.80-3.12

Summary:
* formation energy from the elements: -1.244 eV/atom
* electronic total energy: -6.15 eV per atom

Entry 10:
Sm3DyTm3 | PBE | relaxed

a b c (Å): 14.6864 14.6864 14.6864
angles (deg): 24.23 24.23 24.23
Closest atoms and distances in Å follow each position.
Atoms (fractional coordinates):
Sm  0.1315  0.4619  0.8002  3 Tm 3.49-3.50, 9 Sm 3.53-3.67
Sm  0.1998  0.8685  0.5381  3 Tm 3.49-3.50, 9 Sm 3.53-3.67
Sm  0.4619  0.8002  0.1315  3 Tm 3.49-3.50, 9 Sm 3.53-3.67
Sm  0.5381  0.1998  0.8685  3 Tm 3.49-3.50, 9 Sm 3.53-3.67
Sm  0.8002  0.1315  0.4619  3 Tm 3.49-3.50, 9 Sm 3.53-3.67
Sm  0.8685  0.5381  0.1998  3 Tm 3.49-3.50, 9 Sm 3.53-3.67
Dy  0.3333  0.3333  0.3333  6 Tm 3.46, 3 Dy 3.56
Dy  0.6667  0.6667  0.6667  6 Tm 3.46, 3 Dy 3.56
Tm  0.0650  0.7316  0.3987  2 Dy 3.46, 3 Sm 3.49-3.50, 6 Tm 3.56
Tm  0.2684  0.6013  0.9350  2 Dy 3.46, 3 Sm 3.49-3.50, 6 Tm 3.56
Tm  0.3987  0.0650  0.7316  2 Dy 3.46, 3 Sm 3.49-3.50, 6 Tm 3.56
Tm  0.6013  0.9350  0.2684  2 Dy 3.46, 3 Sm 3.49-3.50, 6 Tm 3.56
Tm  0.7316  0.3987  0.0650  2 Dy 3.46, 3 Sm 3.49-3.50, 6 Tm 3.56
Tm  0.9350  0.2684  0.6013  2 Dy 3.46, 3 Sm 3.49-3.50, 6 Tm 3.56

Summary:
* formation energy from the elements: 0.166 eV/atom
* electronic total energy: -4.43 eV per atom

Entry 11:
Be3AgBi | PBE | relaxed

a b c (Å): 4.8455 4.8455 4.8455
angles (deg): 90.00 90.00 90.00
Closest atoms and distances in Å follow each position.
Atoms (fractional coordinates):
Be  0.0000  0.0000  0.5000  2 Bi 2.42
Be  0.0000  0.5000  0.0000  2 Bi 2.42
Be  0.5000  0.0000  0.0000  2 Bi 2.42
Ag  0.5000  0.5000  0.5000  12 Be 3.43
Bi  0.0000  0.0000  0.0000  6 Be 2.42

Summary:
* formation energy from the elements: 1.503 eV/atom
* electronic total energy: -2.08 eV per atom

Entry 12:
HfCu5Au8 | PBE | relaxed

a b c (Å): 6.7854 6.7854 6.7854
angles (deg): 110.28 110.28 107.87
Closest atoms and distances in Å follow each position.
Atoms (fractional coordinates):
Hf  0.0000  0.0000  0.0000  8 Au 2.74-2.91
Cu  0.0658  0.4715  0.8546  8 Au 2.63-2.88
Cu  0.2500  0.7500  0.5000  8 Au 2.60-2.69
Cu  0.5285  0.3831  0.5943  8 Au 2.63-2.88
Cu  0.6169  0.2112  0.1454  8 Au 2.63-2.88
Cu  0.7888  0.9342  0.4057  8 Au 2.63-2.88
Au  0.0754  0.3194  0.4357  5 Cu 2.60-2.73, 1 Hf 2.74, 2 Au 2.90
Au  0.2481  0.1501  0.7621  5 Cu 2.69-2.88, 2 Au 2.82-2.90, 1 Hf 2.91
Au  0.3603  0.9246  0.2440  5 Cu 2.60-2.73, 1 Hf 2.74, 2 Au 2.90
Au  0.3880  0.4860  0.2379  5 Cu 2.69-2.88, 2 Au 2.82-2.90, 1 Hf 2.91
Au  0.5140  0.7519  0.9020  5 Cu 2.69-2.88, 2 Au 2.82-2.90, 1 Hf 2.91
Au  0.6806  0.1163  0.7560  5 Cu 2.60-2.73, 1 Hf 2.74, 2 Au 2.90
Au  0.8499  0.6120  0.0980  5 Cu 2.69-2.88, 2 Au 2.82-2.90, 1 Hf 2.91
Au  0.8837  0.6397  0.5643  5 Cu 2.60-2.73, 1 Hf 2.74, 2 Au 2.90

Summary:
* formation energy from the elements: -0.011 eV/atom
* electronic total energy: -4.06 eV per atom